VASP calculation (PBE-GGA) on a relaxed TmMnSnRu crystal.

Properties
total DFT energy (no corrections)	-27.82	eV per formula unit
symmetry	No. 216

abc: 6.626 6.626 6.626
angles: 90.00 90.00 90.00
Element x y z (fractional)
1 Tm 0.000 0.000 0.000
2 Tm 0.000 0.500 0.500
3 Tm 0.500 0.000 0.500
4 Tm 0.500 0.500 0.000
5 Mn 0.250 0.250 0.750
6 Mn 0.250 0.750 0.250
7 Mn 0.750 0.250 0.250
8 Mn 0.750 0.750 0.750
9 Sn 0.000 0.000 0.500
10 Sn 0.000 0.500 0.000
11 Sn 0.500 0.000 0.000
12 Sn 0.500 0.500 0.500
13 Ru 0.250 0.250 0.250
14 Ru 0.250 0.750 0.750
15 Ru 0.750 0.250 0.750
16 Ru 0.750 0.750 0.250


VASP calculation (PBE-GGA) on a relaxed ZrMnSnRu crystal.

Properties
total DFT energy (no corrections)	-32.10	eV per formula unit
symmetry	No. 216

abc: 6.417 6.417 6.417
angles: 90.00 90.00 90.00
Element x y z (fractional)
1 Zr 0.000 0.000 0.000
2 Zr 0.000 0.500 0.500
3 Zr 0.500 0.000 0.500
4 Zr 0.500 0.500 0.000
5 Mn 0.250 0.250 0.250
6 Mn 0.250 0.750 0.750
7 Mn 0.750 0.250 0.750
8 Mn 0.750 0.750 0.250
9 Sn 0.000 0.000 0.500
10 Sn 0.000 0.500 0.000
11 Sn 0.500 0.000 0.000
12 Sn 0.500 0.500 0.500
13 Ru 0.250 0.250 0.750
14 Ru 0.250 0.750 0.250
15 Ru 0.750 0.250 0.250
16 Ru 0.750 0.750 0.750


VASP calculation (PBE-GGA) on a relaxed SrMnRu2 crystal.

Properties
symmetry	No. 71
distance to the lowest polymorph of the same formula	356	meV per atom

abc: 2.949 5.002 9.499
angles: 90.00 90.00 90.00
Element x y z (fractional)
1 Sr 0.000 0.000 0.000
2 Sr 0.500 0.500 0.500
3 Mn 0.000 0.000 0.500
4 Mn 0.500 0.500 0.000
5 Ru 0.000 0.500 0.216
6 Ru 0.000 0.500 0.784
7 Ru 0.500 0.000 0.284
8 Ru 0.500 0.000 0.716


VASP calculation (PBE-GGA) on a relaxed Sr2MnRu crystal.

Properties
total DFT energy (no corrections)	-20.37	eV per formula unit
symmetry	No. 99

abc: 3.519 3.519 8.977
angles: 90.00 90.00 90.00
Element x y z (fractional)
1 Sr 0.000 0.000 0.000
2 Sr 0.500 0.500 0.411
3 Mn 0.000 0.000 0.662
4 Ru 0.500 0.500 0.753